(P)
VASP calculation (PBE) on SbOsSCl2 after structural relaxation.

The crystal system is tetragonal. As for the density of states at the Fermi level: 0.59 states/eV/atom. The value obtained for the magnetic moment is 0.000 μB/atom.

Cell: 4.836 4.836 4.560 Å, 90.00 90.00 90.00°
Fractional positions:
Cl 0.000 0.500 0.000
Cl 0.500 0.000 0.000
S 0.000 0.000 0.500
Sb 0.500 0.500 0.500
Os 0.000 0.000 0.000

(Q)
VASP calculation (PBE) on SbOsSCl2 after structural relaxation.

The crystal system is tetragonal. As for the density of states at the Fermi level: 1.15 states/eV/atom. The value obtained for the magnetic moment is 0.981 μB/atom.

Cell: 5.295 5.295 5.172 Å, 90.00 90.00 90.00°
Fractional positions:
S 0.000 0.000 0.500
Cl 0.500 0.000 0.000
Cl 0.000 0.500 0.000
Os 0.500 0.500 0.500
Sb 0.000 0.000 0.000

Most stable to least stable: (P), (Q)

(P)
VASP calculation (PBE) on ScOsSCl2 after structural relaxation.

The crystal system is tetragonal. As for the density of states at the Fermi level: 1.56 states/eV/atom. The value obtained for the magnetic moment is 0.900 μB/atom.

Cell: 4.917 4.917 5.049 Å, 90.00 90.00 90.00°
Fractional positions:
Sc 0.000 0.000 0.000
Cl 0.000 0.500 0.000
Cl 0.500 0.000 0.000
S 0.000 0.000 0.500
Os 0.500 0.500 0.500

(Q)
VASP calculation (PBE) on ScOsSCl2 after structural relaxation.

The crystal system is tetragonal. As for the density of states at the Fermi level: 0.87 states/eV/atom. The value obtained for the magnetic moment is 0.000 μB/atom.

Cell: 4.747 4.747 4.640 Å, 90.00 90.00 90.00°
Fractional positions:
Sc 0.500 0.500 0.500
S 0.000 0.000 0.500
Cl 0.500 0.000 0.000
Cl 0.000 0.500 0.000
Os 0.000 0.000 0.000

Most stable to least stable: (Q), (P)

(P)
VASP calculation (PBE) on SiOsS2Cl after structural relaxation.

The crystal system is tetragonal. As for the density of states at the Fermi level: 1.03 states/eV/atom. The value obtained for the magnetic moment is 0.786 μB/atom.

Cell: 4.574 4.574 4.482 Å, 90.00 90.00 90.00°
Fractional positions:
Si 0.000 0.000 0.000
S 0.500 0.000 0.000
S 0.000 0.500 0.000
Cl 0.000 0.000 0.500
Os 0.500 0.500 0.500

(Q)
VASP calculation (PBE) on SiOsS2Cl after structural relaxation.

The crystal system is tetragonal. As for the density of states at the Fermi level: 1.21 states/eV/atom. The value obtained for the magnetic moment is 0.000 μB/atom.

Cell: 4.596 4.596 4.840 Å, 90.00 90.00 90.00°
Fractional positions:
S 0.500 0.000 0.000
S 0.000 0.500 0.000
Cl 0.000 0.000 0.500
Os 0.000 0.000 0.000
Si 0.500 0.500 0.500

Most stable to least stable: (Q), (P)

(P)
VASP calculation (PBE) on SnOsSCl2 after structural relaxation.

The crystal system is tetragonal. As for the density of states at the Fermi level: 0.67 states/eV/atom. The value obtained for the magnetic moment is 0.000 μB/atom.

Cell: 4.947 4.947 4.512 Å, 90.00 90.00 90.00°
Fractional positions:
Sn 0.500 0.500 0.500
Cl 0.500 0.000 0.000
Cl 0.000 0.500 0.000
Os 0.000 0.000 0.000
S 0.000 0.000 0.500

(Q)
VASP calculation (PBE) on SnOsSCl2 after structural relaxation.

The crystal system is tetragonal. As for the density of states at the Fermi level: 1.12 states/eV/atom. The value obtained for the magnetic moment is 0.990 μB/atom.

Cell: 5.279 5.279 5.072 Å, 90.00 90.00 90.00°
Fractional positions:
Cl 0.000 0.500 0.000
Cl 0.500 0.000 0.000
Os 0.500 0.500 0.500
Sn 0.000 0.000 0.000
S 0.000 0.000 0.500

Most stable to least stable: (P), (Q)

(P)
VASP calculation (PBE) on SrOsSCl2 after structural relaxation.

The crystal system is tetragonal. As for the density of states at the Fermi level: 0.82 states/eV/atom. The value obtained for the magnetic moment is 0.000 μB/atom.

Cell: 4.973 4.973 4.579 Å, 90.00 90.00 90.00°
Fractional positions:
Os 0.000 0.000 0.000
Cl 0.000 0.500 0.000
Cl 0.500 0.000 0.000
S 0.000 0.000 0.500
Sr 0.500 0.500 0.500

(Q)
VASP calculation (PBE) on SrOsSCl2 after structural relaxation.

The crystal system is tetragonal. As for the density of states at the Fermi level: 0.97 states/eV/atom. The value obtained for the magnetic moment is 0.987 μB/atom.

Cell: 5.407 5.407 5.891 Å, 90.00 90.00 90.00°
Fractional positions:
Sr 0.000 0.000 0.000
S 0.000 0.000 0.500
Cl 0.000 0.500 0.000
Cl 0.500 0.000 0.000
Os 0.500 0.500 0.500

Most stable to least stable: (P), (Q)

(P)
VASP calculation (PBE) on TaOsS2Cl after structural relaxation.

The crystal system is tetragonal. As for the density of states at the Fermi level: 1.18 states/eV/atom. The value obtained for the magnetic moment is 0.820 μB/atom.

Cell: 4.799 4.799 4.786 Å, 90.00 90.00 90.00°
Fractional positions:
S 0.500 0.000 0.000
S 0.000 0.500 0.000
Cl 0.000 0.000 0.500
Os 0.500 0.500 0.500
Ta 0.000 0.000 0.000

(Q)
VASP calculation (PBE) on TaOsS2Cl after structural relaxation.

The crystal system is tetragonal. As for the density of states at the Fermi level: 1.00 states/eV/atom. The value obtained for the magnetic moment is 0.407 μB/atom.

Cell: 4.597 4.597 4.661 Å, 90.00 90.00 90.00°
Fractional positions:
S 0.500 0.000 0.000
S 0.000 0.500 0.000
Ta 0.500 0.500 0.500
Cl 0.000 0.000 0.500
Os 0.000 0.000 0.000

Most stable to least stable: (P), (Q)

(P)
VASP calculation (PBE) on TaOsSCl2 after structural relaxation.

The crystal system is tetragonal. As for the density of states at the Fermi level: 1.12 states/eV/atom. The value obtained for the magnetic moment is 0.547 μB/atom.

Cell: 4.750 4.750 4.574 Å, 90.00 90.00 90.00°
Fractional positions:
Os 0.000 0.000 0.000
Cl 0.500 0.000 0.000
Cl 0.000 0.500 0.000
Ta 0.500 0.500 0.500
S 0.000 0.000 0.500

(Q)
VASP calculation (PBE) on TaOsSCl2 after structural relaxation.

The crystal system is tetragonal. As for the density of states at the Fermi level: 1.19 states/eV/atom. The value obtained for the magnetic moment is 0.823 μB/atom.

Cell: 4.847 4.847 4.810 Å, 90.00 90.00 90.00°
Fractional positions:
Cl 0.500 0.000 0.000
Cl 0.000 0.500 0.000
Os 0.500 0.500 0.500
S 0.000 0.000 0.500
Ta 0.000 0.000 0.000

Most stable to least stable: (Q), (P)

(P)
VASP calculation (PBE) on TiOsS2Cl after structural relaxation.

The crystal system is tetragonal. As for the density of states at the Fermi level: 1.74 states/eV/atom. The value obtained for the magnetic moment is 0.015 μB/atom.

Cell: 4.610 4.610 4.724 Å, 90.00 90.00 90.00°
Fractional positions:
Cl 0.000 0.000 0.500
S 0.000 0.500 0.000
S 0.500 0.000 0.000
Ti 0.500 0.500 0.500
Os 0.000 0.000 0.000

(Q)
VASP calculation (PBE) on TiOsS2Cl after structural relaxation.

The crystal system is tetragonal. As for the density of states at the Fermi level: 1.13 states/eV/atom. The value obtained for the magnetic moment is 0.818 μB/atom.

Cell: 4.730 4.730 4.629 Å, 90.00 90.00 90.00°
Fractional positions:
Os 0.500 0.500 0.500
S 0.500 0.000 0.000
S 0.000 0.500 0.000
Cl 0.000 0.000 0.500
Ti 0.000 0.000 0.000

Most stable to least stable: (P), (Q)

(P)
VASP calculation (PBE) on OsWS2Cl after structural relaxation.

The crystal system is tetragonal. As for the density of states at the Fermi level: 1.06 states/eV/atom. The value obtained for the magnetic moment is 0.846 μB/atom.

Cell: 4.678 4.678 4.789 Å, 90.00 90.00 90.00°
Fractional positions:
Os 0.500 0.500 0.500
S 0.500 0.000 0.000
S 0.000 0.500 0.000
W 0.000 0.000 0.000
Cl 0.000 0.000 0.500

(Q)
VASP calculation (PBE) on OsWS2Cl after structural relaxation.

The crystal system is tetragonal. As for the density of states at the Fermi level: 1.08 states/eV/atom. The value obtained for the magnetic moment is 0.643 μB/atom.

Cell: 4.621 4.621 4.706 Å, 90.00 90.00 90.00°
Fractional positions:
S 0.000 0.500 0.000
S 0.500 0.000 0.000
Os 0.000 0.000 0.000
Cl 0.000 0.000 0.500
W 0.500 0.500 0.500

Most stable to least stable: (P), (Q)

(P)
VASP calculation (PBE) on YOsS2Cl after structural relaxation.

The crystal system is tetragonal. As for the density of states at the Fermi level: 0.79 states/eV/atom. The value obtained for the magnetic moment is 0.000 μB/atom.

Cell: 4.681 4.681 4.683 Å, 90.00 90.00 90.00°
Fractional positions:
S 0.000 0.500 0.000
S 0.500 0.000 0.000
Y 0.500 0.500 0.500
Cl 0.000 0.000 0.500
Os 0.000 0.000 0.000

(Q)
VASP calculation (PBE) on YOsS2Cl after structural relaxation.

The crystal system is tetragonal. As for the density of states at the Fermi level: 1.10 states/eV/atom. The value obtained for the magnetic moment is 0.945 μB/atom.

Cell: 5.273 5.273 5.071 Å, 90.00 90.00 90.00°
Fractional positions:
Y 0.000 0.000 0.000
S 0.500 0.000 0.000
S 0.000 0.500 0.000
Cl 0.000 0.000 0.500
Os 0.500 0.500 0.500

Most stable to least stable: (P), (Q)

(P)
VASP calculation (PBE) on YOsSCl2 after structural relaxation.

The crystal system is tetragonal. As for the density of states at the Fermi level: 0.63 states/eV/atom. The value obtained for the magnetic moment is 0.000 μB/atom.

Cell: 4.696 4.696 4.758 Å, 90.00 90.00 90.00°
Fractional positions:
Cl 0.500 0.000 0.000
Cl 0.000 0.500 0.000
S 0.000 0.000 0.500
Os 0.000 0.000 0.000
Y 0.500 0.500 0.500

(Q)
VASP calculation (PBE) on YOsSCl2 after structural relaxation.

The crystal system is tetragonal. As for the density of states at the Fermi level: 1.07 states/eV/atom. The value obtained for the magnetic moment is 0.978 μB/atom.

Cell: 5.239 5.239 5.341 Å, 90.00 90.00 90.00°
Fractional positions:
Cl 0.000 0.500 0.000
Cl 0.500 0.000 0.000
Y 0.000 0.000 0.000
Os 0.500 0.500 0.500
S 0.000 0.000 0.500

Most stable to least stable: (P), (Q)

(P)
VASP calculation (PBE) on ZrOsS2Cl after structural relaxation.

The crystal system is tetragonal. As for the density of states at the Fermi level: 0.96 states/eV/atom. The value obtained for the magnetic moment is 0.960 μB/atom.

Cell: 5.000 5.000 5.009 Å, 90.00 90.00 90.00°
Fractional positions:
Os 0.500 0.500 0.500
S 0.000 0.500 0.000
S 0.500 0.000 0.000
Cl 0.000 0.000 0.500
Zr 0.000 0.000 0.000

(Q)
VASP calculation (PBE) on ZrOsS2Cl after structural relaxation.

The crystal system is tetragonal. As for the density of states at the Fermi level: 1.01 states/eV/atom. The value obtained for the magnetic moment is 0.000 μB/atom.

Cell: 4.627 4.627 4.617 Å, 90.00 90.00 90.00°
Fractional positions:
S 0.500 0.000 0.000
S 0.000 0.500 0.000
Zr 0.500 0.500 0.500
Os 0.000 0.000 0.000
Cl 0.000 0.000 0.500

Most stable to least stable: (Q), (P)

(P)
VASP calculation (PBE) on Sb3OsCl after structural relaxation.

The crystal system is cubic. As for the density of states at the Fermi level: 1.46 states/eV/atom. The value obtained for the magnetic moment is 0.000 μB/atom.

Cell: 5.200 5.200 5.200 Å, 90.00 90.00 90.00°
Fractional positions:
Cl 0.500 0.500 0.500
Os 0.000 0.000 0.000
Sb 0.500 0.000 0.000
Sb 0.000 0.000 0.500
Sb 0.000 0.500 0.000

(Q)
VASP calculation (PBE) on Sb3OsCl after structural relaxation.

The crystal system is cubic. As for the density of states at the Fermi level: 0.60 states/eV/atom. The value obtained for the magnetic moment is 0.000 μB/atom.

Cell: 5.045 5.045 5.045 Å, 90.00 90.00 90.00°
Fractional positions:
Cl 0.000 0.000 0.000
Sb 0.000 0.500 0.000
Sb 0.500 0.000 0.000
Sb 0.000 0.000 0.500
Os 0.500 0.500 0.500

Most stable to least stable: (P), (Q)

(P)
VASP calculation (PBE) on SbOs3Cl after structural relaxation.

The crystal system is cubic. As for the density of states at the Fermi level: 0.95 states/eV/atom. The value obtained for the magnetic moment is 1.119 μB/atom.

Cell: 4.963 4.963 4.963 Å, 90.00 90.00 90.00°
Fractional positions:
Os 0.000 0.000 0.500
Os 0.000 0.500 0.000
Os 0.500 0.000 0.000
Sb 0.000 0.000 0.000
Cl 0.500 0.500 0.500

(Q)
VASP calculation (PBE) on SbOs3Cl after structural relaxation.

The crystal system is cubic. As for the density of states at the Fermi level: 1.06 states/eV/atom. The value obtained for the magnetic moment is 0.000 μB/atom.

Cell: 4.457 4.457 4.457 Å, 90.00 90.00 90.00°
Fractional positions:
Os 0.500 0.000 0.000
Os 0.000 0.500 0.000
Os 0.000 0.000 0.500
Sb 0.500 0.500 0.500
Cl 0.000 0.000 0.000

Most stable to least stable: (Q), (P)